No. 1
Computed, not measured: TmAg2 after structural relaxation at the PBE-GGA level of DFT.

Lattice parameters (Å, degrees): 5.6052 5.6052 5.6052 60.00 60.00 60.00
With the nearest neighbours (Å) after each atom.
Fractional coordinates of all 6 atoms:
Tm (0.1250, 0.1250, 0.1250)  12 Ag 3.29, 4 Tm 3.43
Tm (0.8750, 0.8750, 0.8750)  12 Ag 3.29, 4 Tm 3.43
Ag (0.0000, 0.5000, 0.5000)  6 Ag 2.80
Ag (0.5000, 0.0000, 0.5000)  6 Ag 2.80
Ag (0.5000, 0.5000, 0.0000)  6 Ag 2.80
Ag (0.5000, 0.5000, 0.5000)  6 Ag 2.80



No. 2
Computed, not measured: TmAg3 after structural relaxation at the PBE-GGA level of DFT.

Lattice parameters (Å, degrees): 4.3234 4.3234 4.3234 90.00 90.00 90.00
With the nearest neighbours (Å) after each atom.
Fractional coordinates of all 4 atoms:
Tm (0.0000, 0.0000, 0.0000)  12 Ag 3.06
Ag (0.0000, 0.5000, 0.5000)  4 Tm 3.06, 8 Ag 3.06
Ag (0.5000, 0.0000, 0.5000)  4 Tm 3.06, 8 Ag 3.06
Ag (0.5000, 0.5000, 0.0000)  4 Tm 3.06, 8 Ag 3.06



No. 3
Computed, not measured: TmUAg after structural relaxation at the PBE-GGA level of DFT.

Lattice parameters (Å, degrees): 6.9725 6.9725 6.9725 90.00 90.00 90.00
With the nearest neighbours (Å) after each atom.
Fractional coordinates of all 12 atoms:
Tm (0.0000, 0.0000, 0.0000)  4 Ag 3.02
Tm (0.0000, 0.5000, 0.5000)  4 Ag 3.02
Tm (0.5000, 0.0000, 0.5000)  4 Ag 3.02
Tm (0.5000, 0.5000, 0.0000)  4 Ag 3.02
U (0.0000, 0.0000, 0.5000)  4 Ag 3.02
U (0.0000, 0.5000, 0.0000)  4 Ag 3.02
U (0.5000, 0.0000, 0.0000)  4 Ag 3.02
U (0.5000, 0.5000, 0.5000)  4 Ag 3.02
Ag (0.2500, 0.2500, 0.2500)  4 U 3.02, 4 Tm 3.02
Ag (0.2500, 0.7500, 0.7500)  4 U 3.02, 4 Tm 3.02
Ag (0.7500, 0.2500, 0.7500)  4 U 3.02, 4 Tm 3.02
Ag (0.7500, 0.7500, 0.2500)  4 U 3.02, 4 Tm 3.02

## Properties
- offset from the most stable computed form (eV/f.u.) = 0.00



No. 4
Computed, not measured: TmAgW after structural relaxation at the PBE-GGA level of DFT.

Lattice parameters (Å, degrees): 6.6402 6.6402 6.6402 90.00 90.00 90.00
With the nearest neighbours (Å) after each atom.
Fractional coordinates of all 12 atoms:
Tm (0.0000, 0.0000, 0.0000)  4 W 2.88, 4 Ag 2.88
Tm (0.0000, 0.5000, 0.5000)  4 W 2.88, 4 Ag 2.88
Tm (0.5000, 0.0000, 0.5000)  4 W 2.88, 4 Ag 2.88
Tm (0.5000, 0.5000, 0.0000)  4 W 2.88, 4 Ag 2.88
Ag (0.2500, 0.2500, 0.7500)  4 Tm 2.88
Ag (0.2500, 0.7500, 0.2500)  4 Tm 2.88
Ag (0.7500, 0.2500, 0.2500)  4 Tm 2.88
Ag (0.7500, 0.7500, 0.7500)  4 Tm 2.88
W (0.2500, 0.2500, 0.2500)  4 Tm 2.88
W (0.2500, 0.7500, 0.7500)  4 Tm 2.88
W (0.7500, 0.2500, 0.7500)  4 Tm 2.88
W (0.7500, 0.7500, 0.2500)  4 Tm 2.88



No. 5
Computed, not measured: Y2TmAg3 after structural relaxation at the PBE-GGA level of DFT.

Lattice parameters (Å, degrees): 3.6110 3.6110 10.8412 90.00 90.00 90.00
With the nearest neighbours (Å) after each atom.
Fractional coordinates of all 6 atoms:
Y (0.0000, 0.0000, 0.1687)  8 Ag 3.14-3.15
Y (0.0000, 0.0000, 0.8313)  8 Ag 3.14-3.15
Tm (0.0000, 0.0000, 0.5000)  8 Ag 3.09
Ag (0.5000, 0.5000, 0.0000)  8 Y 3.14
Ag (0.5000, 0.5000, 0.3395)  4 Tm 3.09, 4 Y 3.15
Ag (0.5000, 0.5000, 0.6605)  4 Tm 3.09, 4 Y 3.15



No. 6
Computed, not measured: YTmAg6 after structural relaxation at the PBE-GGA level of DFT.

Lattice parameters (Å, degrees): 4.9997 6.1019 5.2025 90.00 90.00 90.00
With the nearest neighbours (Å) after each atom.
Fractional coordinates of all 8 atoms:
Y (0.0000, 0.0000, 0.0000)  12 Ag 3.02-3.08
Tm (0.5000, 0.5000, 0.3076)  12 Ag 2.99-3.06
Ag (0.0000, 0.2584, 0.4943)  8 Ag 2.92-3.15, 2 Y 3.02-3.07, 2 Tm 3.06
Ag (0.0000, 0.5000, 0.9798)  8 Ag 2.92-3.06, 2 Tm 3.03, 2 Y 3.05
Ag (0.0000, 0.7416, 0.4943)  8 Ag 2.92-3.15, 2 Y 3.02-3.07, 2 Tm 3.06
Ag (0.5000, 0.0000, 0.3357)  8 Ag 2.91-3.12, 2 Y 3.05, 2 Tm 3.05
Ag (0.5000, 0.2495, 0.8133)  8 Ag 2.91-3.12, 2 Tm 2.99-3.04, 2 Y 3.08
Ag (0.5000, 0.7505, 0.8133)  8 Ag 2.91-3.12, 2 Tm 2.99-3.04, 2 Y 3.08



No. 7
Computed, not measured: YTmAg4 after structural relaxation at the PBE-GGA level of DFT.

Lattice parameters (Å, degrees): 3.7042 3.7042 9.2134 90.00 90.00 90.00
With the nearest neighbours (Å) after each atom.
Fractional coordinates of all 6 atoms:
Y (0.0000, 0.0000, 0.0000)  10 Ag 3.07-3.08
Tm (0.5000, 0.5000, 0.5000)  10 Ag 3.01-3.03
Ag (0.0000, 0.0000, 0.3342)  5 Ag 3.01-3.05, 4 Tm 3.03, 1 Y 3.08
Ag (0.0000, 0.0000, 0.6658)  5 Ag 3.01-3.05, 4 Tm 3.03, 1 Y 3.08
Ag (0.5000, 0.5000, 0.1732)  5 Ag 3.01-3.19, 1 Tm 3.01, 4 Y 3.07
Ag (0.5000, 0.5000, 0.8268)  5 Ag 3.01-3.19, 1 Tm 3.01, 4 Y 3.07



No. 8
Computed, not measured: Tm2Zn15Ag2 after structural relaxation at the PBE-GGA level of DFT.

Lattice parameters (Å, degrees): 6.7881 6.7881 6.7881 82.95 82.95 82.95
With the nearest neighbours (Å) after each atom.
Fractional coordinates of all 19 atoms:
Tm (0.1585, 0.1585, 0.1585)  1 Ag 3.06, 15 Zn 3.13-3.41
Tm (0.8415, 0.8415, 0.8415)  1 Ag 3.06, 15 Zn 3.13-3.41
Zn (0.0000, 0.5000, 0.5000)  8 Zn 2.58-2.65, 2 Ag 2.71
Zn (0.1459, 0.1459, 0.6635)  8 Zn 2.53-2.76
Zn (0.1459, 0.6635, 0.1459)  8 Zn 2.53-2.76
Zn (0.2006, 0.5000, 0.7994)  8 Zn 2.58-2.76
Zn (0.2006, 0.7994, 0.5000)  8 Zn 2.58-2.76
Zn (0.3365, 0.8541, 0.8541)  8 Zn 2.53-2.76
Zn (0.5000, 0.0000, 0.5000)  8 Zn 2.58-2.65, 2 Ag 2.71
Zn (0.5000, 0.2006, 0.7994)  8 Zn 2.58-2.76
Zn (0.5000, 0.5000, 0.0000)  8 Zn 2.58-2.65, 2 Ag 2.71
Zn (0.5000, 0.7994, 0.2006)  8 Zn 2.58-2.76
Zn (0.6635, 0.1459, 0.1459)  8 Zn 2.53-2.76
Zn (0.7994, 0.2006, 0.5000)  8 Zn 2.58-2.76
Zn (0.7994, 0.5000, 0.2006)  8 Zn 2.58-2.76
Zn (0.8541, 0.3365, 0.8541)  8 Zn 2.53-2.76
Zn (0.8541, 0.8541, 0.3365)  8 Zn 2.53-2.76
Ag (0.3921, 0.3921, 0.3921)  6 Zn 2.71-2.86, 1 Ag 2.83
Ag (0.6079, 0.6079, 0.6079)  6 Zn 2.71-2.86, 1 Ag 2.83



no.,formation energy from the elements (eV/atom),size of the total moment (Bohr magnetons per cell)
1,-0.172,0.0
2,-0.124,0.0
3,0.724,15.1
4,1.480,12.1
5,-0.345,0.0
6,-0.270,0.0
7,-0.340,0.0
8,-0.213,0.0